1.
First-principles (PBE) data for BeInP2 after structural relaxation, as listed in Alexandria.

Lattice parameters (Å, degrees): 2.9552 2.9552 26.7448 90.00 90.00 120.00
Space group R-3m (No. 166, hexagonal axes)
Symmetry-distinct sites (fractional):
1 Be 0.0000 0.0000 0.0000 [3 per cell]
2 In 0.0000 0.0000 0.5000 [3 per cell]
3 P 0.0000 0.0000 0.2723 [6 per cell]

Calculated values
V in A^3/atom: 16.9
Raw total energy in eV/atom: -3.93
DFT formation energy in eV/atom: 0.388

2.
First-principles (PBE) data for Li2In2Hg7 after structural relaxation, as listed in Alexandria.

Lattice parameters (Å, degrees): 7.765 8.937 7.638 90.00 100.74 90.00
Space group C2/m (No. 12)
Symmetry-distinct sites (fractional):
1 Li 0.125 0.000 0.354 [4 per cell]
2 In 0.000 0.192 0.000 [4 per cell]
3 Hg 0.000 0.500 0.500 [2 per cell]
4 Hg 0.155 0.500 0.906 [4 per cell]
5 Hg 0.190 0.184 0.673 [8 per cell]

Calculated values
Energy above the most stable polymorph in this dataset in eV/atom: 0.0000
V in A^3/atom: 23.7
Raw total energy in eV/atom: -1.16
DFT formation energy in eV/atom: -0.127

3.
First-principles (PBE) data for Ba2YSn3Pd4 after structural relaxation, as listed in Alexandria.

Lattice parameters (Å, degrees): 4.741 4.741 11.414 90.00 90.00 90.00
Space group P-4m2 (No. 115)
Symmetry-distinct sites (fractional):
1 Ba 0.000 0.500 0.234 [2 per cell]
2 Y 0.000 0.000 0.500 [1 per cell]
3 Sn 0.000 0.500 0.884 [2 per cell]
4 Sn 0.500 0.500 0.500 [1 per cell]
5 Pd 0.000 0.000 0.000 [1 per cell]
6 Pd 0.000 0.500 0.642 [2 per cell]
7 Pd 0.500 0.500 0.000 [1 per cell]

Calculated values
V in A^3/atom: 25.7
Raw total energy in eV/atom: -5.06
DFT formation energy in eV/atom: -0.753

4.
First-principles (PBE) data for SnHgSe after structural relaxation, as listed in Alexandria.

Lattice parameters (Å, degrees): 4.100 13.782 6.232 90.00 90.00 90.00
Space group Cmcm (No. 63)
Symmetry-distinct sites (fractional):
1 Sn 0.000 0.172 0.250 [4 per cell]
2 Hg 0.000 0.500 0.000 [4 per cell]
3 Se 0.000 0.194 0.750 [4 per cell]

Calculated values
E_form (uncorrected) in eV/atom: -0.25
Energy above the most stable polymorph in this dataset in eV/atom: 0.0204
V in A^3/atom: 29.3
Raw total energy in eV/atom: -2.84

5.
First-principles (PBE) data for Ce2Pm7Er2 after structural relaxation, as listed in Alexandria.

Lattice parameters (Å, degrees): 11.164 11.729 6.065 90.00 111.89 90.00
Space group C2/m (No. 12)
Symmetry-distinct sites (fractional):
1 Ce 0.000 0.216 0.000 [4 per cell]
2 Pm 0.000 0.000 0.500 [2 per cell]
3 Pm 0.091 0.500 0.305 [4 per cell]
4 Pm 0.173 0.243 0.680 [8 per cell]
5 Er 0.225 0.000 0.079 [4 per cell]

Calculated values
V in A^3/atom: 33.5
Raw total energy in eV/atom: -4.74
DFT formation energy in eV/atom: 0.196

6.
First-principles (PBE) data for Mg3In3Ni2Rh after structural relaxation, as listed in Alexandria.

Lattice parameters (Å, degrees): 7.5624 7.5624 3.1991 90.00 90.00 120.00
Space group P-62m (No. 189)
Symmetry-distinct sites (fractional):
1 Mg 0.0000 0.7219 0.0000 [3 per cell]
2 In 0.0000 0.3826 0.5000 [3 per cell]
3 Ni 0.3333 0.6667 0.0000 [2 per cell]
4 Rh 0.0000 0.0000 0.5000 [1 per cell]

Calculated values
V in A^3/atom: 17.6
Raw total energy in eV/atom: -3.75
DFT formation energy in eV/atom: -0.207

7.
First-principles (PBE) data for CuRu2Rh after structural relaxation, as listed in Alexandria.

Lattice parameters (Å, degrees): 3.752 3.752 3.903 90.00 90.00 90.00
Space group P4/mmm (No. 123)
Symmetry-distinct sites (fractional):
1 Cu 0.000 0.000 0.000 [1 per cell]
2 Ru 0.000 0.500 0.500 [2 per cell]
3 Rh 0.500 0.500 0.000 [1 per cell]

Calculated values
Energy above the most stable polymorph in this dataset in eV/atom: 0.1655
V in A^3/atom: 13.7
Raw total energy in eV/atom: -7.22
DFT formation energy in eV/atom: 0.284

8.
First-principles (PBE) data for ReAs2Au after structural relaxation, as listed in Alexandria.

Lattice parameters (Å, degrees): 2.644 4.558 5.967 90.00 90.09 90.00
Space group P2/m (No. 10)
Symmetry-distinct sites (fractional):
1 Re 0.000 0.000 0.000 [1 per cell]
2 As 0.001 0.500 0.771 [2 per cell]
3 Au 0.000 0.000 0.500 [1 per cell]

Calculated values
Energy above the most stable polymorph in this dataset in eV/atom: 0.2827
V in A^3/atom: 18.0
Raw total energy in eV/atom: -5.79
DFT formation energy in eV/atom: 0.466

9.
First-principles (PBE) data for ZrSc2MnH after structural relaxation, as listed in Alexandria.

Lattice parameters (Å, degrees): 5.224 5.224 3.429 90.00 90.00 90.00
Space group P4/mmm (No. 123)
Symmetry-distinct sites (fractional):
1 Zr 0.000 0.000 0.000 [1 per cell]
2 Sc 0.000 0.500 0.000 [2 per cell]
3 Mn 0.500 0.500 0.500 [1 per cell]
4 H 0.000 0.000 0.500 [1 per cell]

Calculated values
V in A^3/atom: 18.7
Raw total energy in eV/atom: -5.75

10.
First-principles (PBE) data for MgBeZn2 after structural relaxation, as listed in Alexandria.

Lattice parameters (Å, degrees): 2.8887 2.8887 25.3072 90.00 90.00 120.00
Space group R-3m (No. 166, hexagonal axes)
Symmetry-distinct sites (fractional):
1 Mg 0.0000 0.0000 0.0000 [3 per cell]
2 Be 0.0000 0.0000 0.5000 [3 per cell]
3 Zn 0.0000 0.0000 0.2372 [6 per cell]

Calculated values
Energy above the most stable polymorph in this dataset in eV/atom: 0.0977
V in A^3/atom: 15.2
Raw total energy in eV/atom: -1.76
DFT formation energy in eV/atom: 0.207

11.
First-principles (PBE) data for FeReMo2 after structural relaxation, as listed in Alexandria.

Lattice parameters (Å, degrees): 2.7272 2.7272 27.4421 90.00 90.00 120.00
Space group R3m (No. 160, hexagonal axes)
Symmetry-distinct sites (fractional):
1 Fe 0.0000 0.0000 0.0000 [3 per cell]
2 Re 0.0000 0.0000 0.2581 [3 per cell]
3 Mo 0.0000 0.0000 0.5043 [3 per cell]
4 Mo 0.0000 0.0000 0.7463 [3 per cell]

Calculated values
Energy above the most stable polymorph in this dataset in eV/atom: 0.1879
V in A^3/atom: 14.7
Raw total energy in eV/atom: -10.37
DFT formation energy in eV/atom: 0.276

12.
First-principles (PBE) data for InHPd2 after structural relaxation, as listed in Alexandria.

Lattice parameters (Å, degrees): 3.0882 3.0882 19.8031 90.00 90.00 120.00
Space group R3m (No. 160, hexagonal axes)
Symmetry-distinct sites (fractional):
1 In 0.0000 0.0000 0.0000 [3 per cell]
2 H 0.0000 0.0000 0.1765 [3 per cell]
3 Pd 0.0000 0.0000 0.5562 [3 per cell]
4 Pd 0.0000 0.0000 0.7739 [3 per cell]

Calculated values
Energy above the most stable polymorph in this dataset in eV/atom: 0.1023
V in A^3/atom: 13.6
Raw total energy in eV/atom: -4.34